Computed, not measured: a geometry-optimized PmGeRh2 structure at the GGA-PBE level of DFT.

Cell: 3.3912 3.3912 6.2741 Å, 90.00 90.00 90.00°
Fractional coordinates of all 4 atoms:
Ge1 0.5000 0.5000 0.5000
Rh1 0.0000 0.0000 0.7151
Rh2 0.0000 0.0000 0.2849
Pm1 0.5000 0.5000 0.0000

- electronic total energy (eV per atom) = -6.501